Here is a geometry-optimized PrNdNi2 structure from Alexandria. Energies are from GGA-PBE.

## Properties
Its distance to the lowest polymorph of the same formula is 105 meV per atom. Its formation energy is -0.204 eV/atom.

Lattice parameters (Å, degrees): 7.0190 7.0190 7.0190 90.00 90.00 90.00
With the nearest neighbours (Å) after each atom.
Space group Fm-3m (No. 225)
Asymmetric unit:
Pr  0.0000  0.0000  0.0000  8 Ni 3.04
Nd  0.0000  0.0000  0.5000  8 Ni 3.04
Ni  0.2500  0.2500  0.2500  4 Pr 3.04, 4 Nd 3.04



Here is a geometry-optimized La3PmTe6 structure from Alexandria. Energies are from GGA-PBE.

## Properties
Its distance to the lowest polymorph of the same formula is 0 meV per atom. The calculation puts the formation energy (no corrections) at -1.497 eV/atom.

Lattice parameters (Å, degrees): 7.5684 8.4935 13.6500 90.00 122.25 90.00
With the nearest neighbours (Å) after each atom.
Space group P2_1/c (No. 14)
Asymmetric unit:
La  0.0000  0.0000  0.0000  6 Te 3.15-3.21
La  0.3044  0.1155  0.7541  6 Te 3.22-3.43
Pm  0.5000  0.0000  0.5000  6 Te 3.08-3.16
Te  0.0902  0.0576  0.2548  1 Pm 3.16, 3 La 3.21-3.27
Te  0.2480  0.6766  0.0837  1 Pm 3.08, 3 La 3.18-3.39
Te  0.4192  0.1791  0.0787  1 Pm 3.11, 3 La 3.15-3.43



Here is a geometry-optimized BaLa2Cr structure from Alexandria. Energies are from GGA-PBE.

## Properties
Its distance to the lowest polymorph of the same formula is 0 meV per atom. Its formation energy is 0.313 eV/atom.

Lattice parameters (Å, degrees): 3.8448 3.8448 9.9898 90.00 90.00 90.00
With the nearest neighbours (Å) after each atom.
Space group P4/mmm (No. 123)
Asymmetric unit:
Ba  0.0000  0.0000  0.0000  4 Ba 3.84, 8 La 4.25
La  0.5000  0.5000  0.3264  4 Cr 3.22, 1 La 3.47
Cr  0.0000  0.0000  0.5000  8 La 3.22



Here is a geometry-optimized FeTeAs2 structure from Alexandria. Energies are from GGA-PBE.

## Properties
The calculation puts the formation energy (no corrections) at 0.206 eV/atom.

Lattice parameters (Å, degrees): 3.0999 4.1119 13.4254 90.00 90.00 90.00
With the nearest neighbours (Å) after each atom.
Space group Imm2 (No. 44)
Asymmetric unit:
Fe  0.0000  0.0000  0.0000  6 As 2.53-2.60, 2 Te 2.69
Te  0.0000  0.5000  0.6641  2 Fe 2.69
As  0.0000  0.0000  0.4752  4 Fe 2.60, 2 As 2.65
As  0.0000  0.5000  0.3513  2 Fe 2.53, 2 As 2.65



Here is a geometry-optimized RbNaTl2Ga structure from Alexandria. Energies are from GGA-PBE.

## Properties
Its formation energy is 0.035 eV/atom.

Lattice parameters (Å, degrees): 5.7781 5.7781 5.7549 90.00 90.00 90.00
With the nearest neighbours (Å) after each atom.
Space group P4/mmm (No. 123)
Asymmetric unit:
Rb  0.0000  0.0000  0.0000  8 Tl 4.08, 4 Na 4.09
Na  0.5000  0.5000  0.0000  2 Ga 2.88
Tl  0.0000  0.5000  0.5000  2 Ga 2.89
Ga  0.5000  0.5000  0.5000  2 Na 2.88, 4 Tl 2.89



Here is a geometry-optimized SmBiPb structure from Alexandria. Energies are from GGA-PBE.

## Properties
Its distance to the lowest polymorph of the same formula is 0 meV per atom. Its formation energy is -0.505 eV/atom.

Lattice parameters (Å, degrees): 8.9465 6.5104 6.5104 90.00 90.00 90.00
With the nearest neighbours (Å) after each atom.
Space group Aem2 (No. 39)
Asymmetric unit:
Sm  0.1842  0.2500  0.0000  5 Bi 3.22-3.26
Bi  0.1756  0.2500  0.5002  5 Sm 3.22-3.26
Pb  0.5000  0.0000  0.2475  4 Pb 3.26, 2 Sm 3.64



Here is a geometry-optimized Gd3Mg structure from Alexandria. Energies are from GGA-PBE.

## Properties
Its formation energy is 0.011 eV/atom.

Lattice parameters (Å, degrees): 4.9284 4.9284 9.8982 90.00 90.00 90.00
With the nearest neighbours (Å) after each atom.
Space group I4/mmm (No. 139)
Asymmetric unit:
Gd  0.0000  0.0000  0.0000  4 Mg 3.48, 8 Gd 3.49
Gd  0.0000  0.5000  0.2500  8 Gd 3.48-3.49, 4 Mg 3.49
Mg  0.0000  0.0000  0.5000  12 Gd 3.48-3.49



Here is a geometry-optimized Er2TmTe4 structure from Alexandria. Energies are from GGA-PBE.

## Properties
Its distance to the lowest polymorph of the same formula is 0 meV per atom. The calculation puts the formation energy (no corrections) at -1.347 eV/atom.

Lattice parameters (Å, degrees): 16.0321 4.3060 7.5149 90.00 117.60 90.00
With the nearest neighbours (Å) after each atom.
Space group C2/m (No. 12)
Asymmetric unit:
Er  0.2441  0.0000  0.2284  6 Te 3.02-3.12
Tm  0.0000  0.5000  0.5000  6 Te 3.02-3.07
Te  0.1188  0.5000  0.9511  1 Tm 3.02, 3 Er 3.02-3.07
Te  0.1283  0.0000  0.4648  2 Tm 3.07, 3 Er 3.11-3.12



Here is a geometry-optimized YThCoCl structure from Alexandria. Energies are from GGA-PBE.

## Properties
The calculation puts the formation energy (no corrections) at -0.817 eV/atom.

Lattice parameters (Å, degrees): 3.9445 3.9445 22.7231 90.00 90.00 120.00
With the nearest neighbours (Å) after each atom.
Space group R3m (No. 160, hexagonal axes)
Asymmetric unit:
Y  0.0000  0.0000  0.0000  3 Co 2.76
Th  0.0000  0.0000  0.2073  3 Co 2.62
Co  0.0000  0.0000  0.5977  3 Th 2.62, 3 Y 2.76
Cl  0.0000  0.0000  0.7646  3 Y 3.18, 3 Th 3.37



Here is a geometry-optimized TiFeTeI2 structure from Alexandria. Energies are from GGA-PBE.

## Properties
Its distance to the lowest polymorph of the same formula is 0 meV per atom. The calculation puts the formation energy (no corrections) at 0.443 eV/atom.

Lattice parameters (Å, degrees): 5.6051 5.6051 5.3687 90.00 90.00 90.00
With the nearest neighbours (Å) after each atom.
Space group P4/mmm (No. 123)
Asymmetric unit:
Ti  0.0000  0.0000  0.0000  2 Te 2.68, 4 I 2.80
Fe  0.5000  0.5000  0.5000  8 I 3.88, 4 Te 3.96
Te  0.0000  0.0000  0.5000  2 Ti 2.68
I  0.0000  0.5000  0.0000  2 Ti 2.80



Here is a geometry-optimized BiSe2O5 structure from Alexandria. Energies are from GGA-PBE.

## Properties
The calculation puts the formation energy (no corrections) at -0.743 eV/atom.

Lattice parameters (Å, degrees): 7.2714 10.6863 7.3988 90.00 90.00 90.00
With the nearest neighbours (Å) after each atom.
Space group Pbcn (No. 60)
Asymmetric unit:
Bi  0.0000  0.0668  0.2500  4 O 2.24-2.37
Se  0.1071  0.3543  0.0340  3 O 1.75-1.94
O  0.0000  0.4276  0.2500  2 Se 1.94
O  0.1786  0.0714  0.5182  1 Se 1.75
O  0.1834  0.2176  0.1438  1 Se 1.76



Here is a geometry-optimized Zr4BBr5 structure from Alexandria. Energies are from GGA-PBE.

## Properties
The calculation puts the formation energy (no corrections) at -1.100 eV/atom.

Lattice parameters (Å, degrees): 17.1798 3.6477 7.9247 90.00 103.75 90.00
With the nearest neighbours (Å) after each atom.
Space group C2/m (No. 12)
Asymmetric unit:
Zr  0.0026  0.0000  0.3073  2 B 2.39
Zr  0.1362  0.5000  0.5619  1 B 2.27
B  0.0000  0.5000  0.5000  6 Zr 2.27-2.39
Br  0.0000  0.5000  0.0000  4 Zr 3.03
Br  0.1600  0.0000  0.8312  3 Zr 2.75-2.76
Br  0.1695  0.0000  0.3226  3 Zr 2.79-2.84



Here is a geometry-optimized DyAlGaPt2 structure from Alexandria. Energies are from GGA-PBE.

## Properties
Its formation energy is -1.031 eV/atom.

Lattice parameters (Å, degrees): 3.9738 3.9738 11.8768 90.00 90.00 90.00
With the nearest neighbours (Å) after each atom.
Space group I-4m2 (No. 119)
Asymmetric unit:
Dy  0.0000  0.0000  0.0000  8 Pt 3.12
Al  0.0000  0.5000  0.2500  4 Pt 2.56, 4 Ga 2.81
Ga  0.0000  0.5000  0.7500  4 Pt 2.56, 4 Al 2.81
Pt  0.0000  0.0000  0.3859  2 Al 2.56, 2 Ga 2.56, 1 Pt 2.71



Here is a geometry-optimized LiAgHgBi2 structure from Alexandria. Energies are from GGA-PBE.

## Properties
Its formation energy is 0.255 eV/atom.

Lattice parameters (Å, degrees): 5.1552 5.1552 4.8520 90.00 90.00 90.00
With the nearest neighbours (Å) after each atom.
Space group P4/mmm (No. 123)
Asymmetric unit:
Li  0.0000  0.0000  0.0000  2 Ag 2.43, 4 Bi 2.58
Ag  0.0000  0.0000  0.5000  2 Li 2.43
Hg  0.5000  0.5000  0.5000  8 Bi 3.54, 4 Ag 3.65
Bi  0.0000  0.5000  0.0000  2 Li 2.58



Here is a geometry-optimized BaVAu2 structure from Alexandria. Energies are from GGA-PBE.

## Properties
Its distance to the lowest polymorph of the same formula is 0 meV per atom. Its formation energy is 0.081 eV/atom.

Lattice parameters (Å, degrees): 5.3353 5.3353 17.9950 90.00 90.00 90.00
With the nearest neighbours (Å) after each atom.
Space group I4_1/amd (No. 141, origin choice 2)
Asymmetric unit:
Ba  0.0000  0.2500  0.3750  8 Au 3.74, 4 V 3.77
V  0.0000  0.2500  0.8750  4 Au 2.62
Au  0.0000  0.0000  0.0000  2 V 2.62, 2 Au 2.67



Here is a geometry-optimized CrCdCoIr2 structure from Alexandria. Energies are from GGA-PBE.

## Properties
Its formation energy is 2.478 eV/atom.

Lattice parameters (Å, degrees): 4.8239 4.8239 4.5031 90.00 90.00 90.00
With the nearest neighbours (Å) after each atom.
Space group P4/mmm (No. 123)
Asymmetric unit:
Cr  0.0000  0.0000  0.0000  8 Ir 3.30, 4 Co 3.41
Cd  0.5000  0.5000  0.5000  2 Co 2.25, 4 Ir 2.41
Co  0.5000  0.5000  0.0000  2 Cd 2.25
Ir  0.0000  0.5000  0.5000  2 Cd 2.41



Here is a geometry-optimized Dy2Tl3Cd3 structure from Alexandria. Energies are from GGA-PBE.

## Properties
Its formation energy is -0.246 eV/atom.

Lattice parameters (Å, degrees): 4.6348 4.7642 9.1036 90.00 90.00 90.00
With the nearest neighbours (Å) after each atom.
Space group Pmmm (No. 47)
Asymmetric unit:
Dy  0.0000  0.0000  0.2490  6 Tl 3.24-3.29, 6 Cd 3.30-3.32
Tl  0.0000  0.5000  0.0000  4 Dy 3.29, 4 Cd 3.31, 4 Tl 3.32
Tl  0.5000  0.0000  0.0000  4 Dy 3.24, 4 Tl 3.32, 4 Cd 3.35
Tl  0.5000  0.0000  0.5000  8 Cd 3.24-3.32, 4 Dy 3.25
Cd  0.0000  0.5000  0.5000  4 Cd 3.19, 4 Dy 3.30, 4 Tl 3.32
Cd  0.5000  0.5000  0.2592  2 Cd 3.19, 6 Tl 3.24-3.35, 4 Dy 3.32



Here is a geometry-optimized Na4Pu3AuS8 structure from Alexandria. Energies are from GGA-PBE.

## Properties
The calculation puts the formation energy (no corrections) at -1.250 eV/atom.

Lattice parameters (Å, degrees): 14.0346 7.8060 8.0561 90.00 124.30 90.00
With the nearest neighbours (Å) after each atom.
Space group C2/m (No. 12)
Asymmetric unit:
Na  0.0000  0.0000  0.0000  6 S 2.76-2.96
Na  0.0000  0.5000  0.0000  6 S 2.90-3.03
Na  0.2500  0.2500  0.0000  6 S 2.88-3.06
Pu  0.0000  0.0000  0.5000  6 S 2.73-2.77
Pu  0.2500  0.2500  0.5000  6 S 2.69-2.75
Au  0.0000  0.5000  0.5000  4 S 2.66
S  0.0129  0.2560  0.2832  1 Au 2.66, 2 Pu 2.73-2.75, 2 Na 2.90-2.96
S  0.2375  0.0000  0.2590  2 Pu 2.69, 3 Na 2.76-2.93
S  0.2385  0.0000  0.7264  3 Pu 2.74-2.77, 3 Na 2.88-3.03



Here is a geometry-optimized CoCuRe2 structure from Alexandria. Energies are from GGA-PBE.

## Properties
Its distance to the lowest polymorph of the same formula is 78 meV per atom. Its formation energy is 0.238 eV/atom.

Lattice parameters (Å, degrees): 2.6797 2.6797 25.8968 90.00 90.00 120.00
With the nearest neighbours (Å) after each atom.
Space group R-3m (No. 166, hexagonal axes)
Asymmetric unit:
Co  0.0000  0.0000  0.0000  6 Re 2.59, 6 Co 2.68
Cu  0.0000  0.0000  0.5000  6 Cu 2.68, 6 Re 2.73
Re  0.0000  0.0000  0.2533  3 Co 2.59, 6 Re 2.68, 3 Cu 2.73



Here is a geometry-optimized NbAsSe2N structure from Alexandria. Energies are from GGA-PBE.

## Properties
Its distance to the lowest polymorph of the same formula is 743 meV per atom. The calculation puts the formation energy (no corrections) at 0.992 eV/atom.

Lattice parameters (Å, degrees): 5.0255 5.0255 5.0943 90.00 90.00 90.00
With the nearest neighbours (Å) after each atom.
Space group P4/mmm (No. 123)
Asymmetric unit:
Nb  0.0000  0.0000  0.0000  4 Se 2.51, 2 As 2.55
As  0.0000  0.0000  0.5000  2 Nb 2.55
Se  0.0000  0.5000  0.0000  2 Nb 2.51
N  0.5000  0.5000  0.5000  4 As 3.55, 8 Se 3.58